Below is Pr8TlIn2 after structural relaxation, with properties calculated at the PBE level.

The value obtained for the formation enthalpy at 0 K is -0.2370 eV/atom. For the offset from the most stable computed form, the calculation gives 0 meV per atom. The value obtained for the density of states at the Fermi level is 1.07 states/eV/atom. The total energy is -0.32531 Ry/atom. For the size of the total moment, the calculation gives 0.00 μB per cell.

The structure belongs to space group C2/m (No. 12); the cell edges are 17.733, 5.101 and 8.410 Å and the angles 90.00°, 111.18° and 90.00°. Symmetry generates all atoms from Pr at (0.057, 0.000, 0.228), Pr at (0.097, 0.500, 0.950), Pr at (0.142, 0.000, 0.705), Pr at (0.179, 0.500, 0.439), Tl at (0.000, 0.500, 0.500) and In at (0.225, 0.000, 0.146).